#one
Density functional theory data (PBE) for a relaxed structure of Zr2SiSe.

As for the density: 4.36 g/cm³. For the volume, the calculation gives 27.6 Å³/atom.

The space group is I-42d (No. 122) and the conventional cell measures 6.012, 6.012 and 12.198 Å, with angles of 90.00, 90.00 and 90.00 degrees. The inequivalent atoms are Zr at (0.238, 0.250, 0.125), Si at (0.000, 0.000, 0.000) and Se at (0.000, 0.000, 0.500).

#two
Density functional theory data (PBE) for a relaxed structure of Zr2SiSe.

As for the density: 5.96 g/cm³. For the volume, the calculation gives 20.1 Å³/atom.

The space group is P4/mmm (No. 123) and the conventional cell measures 3.854, 3.854 and 5.426 Å, with angles of 90.00, 90.00 and 90.00 degrees. The inequivalent atoms are Zr at (0.000, 0.000, 0.000), Zr at (0.500, 0.500, 0.500), Si at (0.000, 0.000, 0.500) and Se at (0.500, 0.500, 0.000).

What should be chosen as the most stable of them? Choose #two.

#one
Density functional theory data (PBE) for a relaxed structure of Zr2Si2Se.

As for the density: 5.41 g/cm³. For the volume, the calculation gives 19.5 Å³/atom.

The space group is P4/mbm (No. 127) and the conventional cell measures 7.259, 7.259 and 3.701 Å, with angles of 90.00, 90.00 and 90.00 degrees. The inequivalent atoms are Zr at (0.178, 0.322, 0.000), Si at (0.115, 0.615, 0.500) and Se at (0.000, 0.000, 0.000).

#two
Density functional theory data (PBE) for a relaxed structure of Zr2Si2Se.

As for the density: 5.71 g/cm³. For the volume, the calculation gives 18.5 Å³/atom.

The space group is I4/mmm (No. 139) and the conventional cell measures 3.523, 3.523 and 14.897 Å, with angles of 90.00, 90.00 and 90.00 degrees. The inequivalent atoms are Zr at (0.000, 0.000, 0.107), Si at (0.000, 0.500, 0.250) and Se at (0.000, 0.000, 0.500).

What should be chosen as the most stable of them? Choose #two.

#one
Density functional theory data (PBE) for a relaxed structure of ZrSiSe3.

As for the density: 4.21 g/cm³. For the volume, the calculation gives 28.1 Å³/atom.

The space group is Pm-3m (No. 221) and the conventional cell measures 5.199, 5.199 and 5.199 Å, with angles of 90.00, 90.00 and 90.00 degrees. The inequivalent atoms are Zr at (0.000, 0.000, 0.000), Si at (0.500, 0.500, 0.500) and Se at (0.000, 0.000, 0.500).

#two
Density functional theory data (PBE) for a relaxed structure of ZrSiSe3.

As for the density: 5.43 g/cm³. For the volume, the calculation gives 21.8 Å³/atom.

The space group is Pm-3m (No. 221) and the conventional cell measures 4.774, 4.774 and 4.774 Å, with angles of 90.00, 90.00 and 90.00 degrees. The inequivalent atoms are Zr at (0.000, 0.000, 0.000), Si at (0.500, 0.500, 0.500) and Se at (0.000, 0.500, 0.500).

What should be chosen as the most stable of them? Choose #one.